Entry from the Alexandria database: HgAuN2O after structural relaxation (PBE).

Output
**Raw formation energy**: 806 kJ/mol of formula units
**Crystal system**: tetragonal
**Electronic total energy**: -16.836 eV/cell

abc: 4.069 4.069 4.435
angles: 90.00 90.00 90.00
Space group P4/mmm (No. 123)
Inequivalent atoms, fractional coordinates:
Hg 0.000 0.000 0.000 [1 per cell]
Au 0.500 0.500 0.500 [1 per cell]
N 0.000 0.500 0.500 [2 per cell]
O 0.500 0.500 0.000 [1 per cell]


Entry from the Alexandria database: HgAuNO2 after structural relaxation (PBE).

Output
**Raw formation energy**: 724 kJ/mol of formula units
**Crystal system**: tetragonal
**Electronic total energy**: -14.315 eV/cell

abc: 4.287 4.287 4.239
angles: 90.00 90.00 90.00
Space group P4/mmm (No. 123)
Inequivalent atoms, fractional coordinates:
Hg 0.000 0.000 0.000 [1 per cell]
Au 0.500 0.500 0.500 [1 per cell]
N 0.000 0.000 0.500 [1 per cell]
O 0.000 0.500 0.000 [2 per cell]


Entry from the Alexandria database: PaHgAuN after structural relaxation (PBE).

Output
**Raw formation energy**: -318 kJ/mol of formula units
**Crystal system**: trigonal
**Electronic total energy**: -148.174 eV/cell

abc: 3.8871 3.8871 39.2351
angles: 90.00 90.00 120.00
Space group R-3m (No. 166, hexagonal axes)
Inequivalent atoms, fractional coordinates:
Pa 0.0000 0.0000 0.1305 [6 per cell]
Hg 0.0000 0.0000 0.3054 [6 per cell]
Au 0.0000 0.0000 0.4105 [6 per cell]
N 0.0000 0.0000 0.1879 [6 per cell]


Entry from the Alexandria database: HgPdAu2N after structural relaxation (PBE).

Output
**Raw formation energy**: 278 kJ/mol of formula units
**Crystal system**: tetragonal
**Electronic total energy**: -17.494 eV/cell

abc: 4.436 4.436 4.277
angles: 90.00 90.00 90.00
Space group P4/mmm (No. 123)
Inequivalent atoms, fractional coordinates:
Hg 0.000 0.000 0.000 [1 per cell]
Pd 0.500 0.500 0.000 [1 per cell]
Au 0.000 0.500 0.500 [2 per cell]
N 0.500 0.500 0.500 [1 per cell]


Entry from the Alexandria database: HgRh2AuN after structural relaxation (PBE).

Output
**Raw formation energy**: 715 kJ/mol of formula units
**Crystal system**: tetragonal
**Electronic total energy**: -19.199 eV/cell

abc: 5.172 5.172 3.678
angles: 90.00 90.00 90.00
Space group P4/mmm (No. 123)
Inequivalent atoms, fractional coordinates:
Hg 0.000 0.000 0.000 [1 per cell]
Rh 0.000 0.500 0.500 [2 per cell]
Au 0.500 0.500 0.500 [1 per cell]
N 0.500 0.500 0.000 [1 per cell]


Entry from the Alexandria database: HgAuSN2 after structural relaxation (PBE).

Output
**Raw formation energy**: 772 kJ/mol of formula units
**Crystal system**: tetragonal
**Distance to the lowest polymorph of the same formula**: 0 meV/atom
**Electronic total energy**: -16.355 eV/cell

abc: 3.914 3.914 7.768
angles: 90.00 90.00 90.00
Space group P4/mmm (No. 123)
Inequivalent atoms, fractional coordinates:
Hg 0.000 0.000 0.000 [1 per cell]
Au 0.500 0.500 0.500 [1 per cell]
S 0.500 0.500 0.000 [1 per cell]
N 0.000 0.500 0.500 [2 per cell]


Entry from the Alexandria database: HgAuS2N after structural relaxation (PBE).

Output
**Raw formation energy**: 546 kJ/mol of formula units
**Crystal system**: tetragonal
**Distance to the lowest polymorph of the same formula**: 0 meV/atom
**Electronic total energy**: -14.501 eV/cell

abc: 5.132 5.132 3.780
angles: 90.00 90.00 90.00
Space group P4/mmm (No. 123)
Inequivalent atoms, fractional coordinates:
Hg 0.000 0.000 0.000 [1 per cell]
Au 0.500 0.500 0.500 [1 per cell]
S 0.000 0.500 0.500 [2 per cell]
N 0.500 0.500 0.000 [1 per cell]


Entry from the Alexandria database: HgAuSN2 after structural relaxation (PBE).

Output
**Raw formation energy**: 996 kJ/mol of formula units
**Crystal system**: tetragonal
**Distance to the lowest polymorph of the same formula**: 465 meV/atom
**Electronic total energy**: -14.033 eV/cell

abc: 4.140 4.140 5.910
angles: 90.00 90.00 90.00
Space group P4/mmm (No. 123)
Inequivalent atoms, fractional coordinates:
Hg 0.000 0.000 0.000 [1 per cell]
Au 0.500 0.500 0.500 [1 per cell]
S 0.000 0.000 0.500 [1 per cell]
N 0.000 0.500 0.000 [2 per cell]


Entry from the Alexandria database: HgAuS2N after structural relaxation (PBE).

Output
**Raw formation energy**: 761 kJ/mol of formula units
**Crystal system**: tetragonal
**Distance to the lowest polymorph of the same formula**: 446 meV/atom
**Electronic total energy**: -12.269 eV/cell

abc: 5.143 5.143 4.141
angles: 90.00 90.00 90.00
Space group P4/mmm (No. 123)
Inequivalent atoms, fractional coordinates:
Hg 0.000 0.000 0.000 [1 per cell]
Au 0.500 0.500 0.500 [1 per cell]
S 0.000 0.500 0.000 [2 per cell]
N 0.000 0.000 0.500 [1 per cell]


Entry from the Alexandria database: HgSbAuN2 after structural relaxation (PBE).

Output
**Raw formation energy**: 796 kJ/mol of formula units
**Crystal system**: tetragonal
**Electronic total energy**: -16.100 eV/cell

abc: 4.125 4.125 6.061
angles: 90.00 90.00 90.00
Space group P4/mmm (No. 123)
Inequivalent atoms, fractional coordinates:
Hg 0.000 0.000 0.000 [1 per cell]
Sb 0.500 0.500 0.000 [1 per cell]
Au 0.000 0.000 0.500 [1 per cell]
N 0.000 0.500 0.500 [2 per cell]


Entry from the Alexandria database: HgAuSe2N after structural relaxation (PBE).

Output
**Raw formation energy**: 476 kJ/mol of formula units
**Crystal system**: tetragonal
**Distance to the lowest polymorph of the same formula**: 0 meV/atom
**Electronic total energy**: -13.945 eV/cell

abc: 5.437 5.437 3.760
angles: 90.00 90.00 90.00
Space group P4/mmm (No. 123)
Inequivalent atoms, fractional coordinates:
Hg 0.000 0.000 0.000 [1 per cell]
Au 0.500 0.500 0.500 [1 per cell]
Se 0.000 0.500 0.500 [2 per cell]
N 0.500 0.500 0.000 [1 per cell]


Entry from the Alexandria database: HgAuSe2N after structural relaxation (PBE).

Output
**Raw formation energy**: 686 kJ/mol of formula units
**Crystal system**: tetragonal
**Distance to the lowest polymorph of the same formula**: 436 meV/atom
**Electronic total energy**: -11.765 eV/cell

abc: 5.407 5.407 4.090
angles: 90.00 90.00 90.00
Space group P4/mmm (No. 123)
Inequivalent atoms, fractional coordinates:
Hg 0.000 0.000 0.000 [1 per cell]
Au 0.500 0.500 0.500 [1 per cell]
Se 0.000 0.500 0.000 [2 per cell]
N 0.000 0.000 0.500 [1 per cell]


Question: Which value of electronic total energy does entry 9 give?
Answer: -12.269 eV/cell


Question: The highest raw formation energy belongs to which entry?
Answer: number 8